Record 1
# AgP3S | Alexandria via LeMat-Bulk | PBE | relaxed
# Symmetry: Pm-3m
# ΔE_f (raw), kJ per mole of atoms: 146.0
# Energy above the most stable polymorph in this dataset, kJ per mole of atoms: 49.82
data_AgP3S
_chemical_formula_sum 'Ag1 P3 S1'
_symmetry_space_group_name_H-M 'P 1'
_symmetry_Int_Tables_number 1
_symmetry_space_group_name_Hall 'P 1'
_cell_length_a 4.7784
_cell_length_b 4.7784
_cell_length_c 4.7784
_cell_angle_alpha 90.00
_cell_angle_beta 90.00
_cell_angle_gamma 90.00
loop_
_atom_site_label
_atom_site_fract_x
_atom_site_fract_y
_atom_site_fract_z
_atom_site_occupancy
Ag1 0.0000 0.0000 0.0000 1
P1 0.0000 0.0000 0.5000 1
P2 0.0000 0.5000 0.0000 1
P3 0.5000 0.0000 0.0000 1
S1 0.5000 0.5000 0.5000 1

Record 2
# Mg3SbAs | Alexandria via LeMat-Bulk | PBE | relaxed
# Symmetry: Pm-3m
# ΔE_f (raw), kJ per mole of atoms: 24.6
# Energy above the most stable polymorph in this dataset, kJ per mole of atoms: 56.69
data_Mg3SbAs
_chemical_formula_sum 'Mg3 Sb1 As1'
_symmetry_space_group_name_H-M 'P 1'
_symmetry_Int_Tables_number 1
_symmetry_space_group_name_Hall 'P 1'
_cell_length_a 5.2457
_cell_length_b 5.2457
_cell_length_c 5.2457
_cell_angle_alpha 90.00
_cell_angle_beta 90.00
_cell_angle_gamma 90.00
loop_
_atom_site_label
_atom_site_fract_x
_atom_site_fract_y
_atom_site_fract_z
_atom_site_occupancy
Mg1 0.0000 0.0000 0.5000 1
Mg2 0.0000 0.5000 0.0000 1
Mg3 0.5000 0.0000 0.0000 1
Sb1 0.0000 0.0000 0.0000 1
As1 0.5000 0.5000 0.5000 1

Record 3
# Na2Al5Zn4 | Alexandria via LeMat-Bulk | PBE | relaxed
# Symmetry: Fmmm
# Formation energy, meV per atom: 63
# Energy above the most stable polymorph in this dataset, kJ per mole of atoms: 1.86
data_Na2Al5Zn4
_chemical_formula_sum 'Na2 Al5 Zn4'
_symmetry_space_group_name_H-M 'P 1'
_symmetry_Int_Tables_number 1
_symmetry_space_group_name_Hall 'P 1'
_cell_length_a 9.5825
_cell_length_b 8.7372
_cell_length_c 5.5389
_cell_angle_alpha 80.97
_cell_angle_beta 64.22
_cell_angle_gamma 34.81
loop_
_atom_site_label
_atom_site_fract_x
_atom_site_fract_y
_atom_site_fract_z
_atom_site_occupancy
Na1 0.1230 0.1230 0.8770 1
Na2 0.8770 0.8770 0.1230 1
Al1 0.0000 0.0000 0.5000 1
Al2 0.2500 0.2500 0.2500 1
Al3 0.5000 0.5000 0.0000 1
Al4 0.5000 0.5000 0.5000 1
Al5 0.7500 0.7500 0.7500 1
Zn1 0.2191 0.5189 0.4811 1
Zn2 0.4811 0.7809 0.2191 1
Zn3 0.5189 0.2191 0.7809 1
Zn4 0.7809 0.4811 0.5189 1

Record 4
# PmTlGe2O6 | Alexandria via LeMat-Bulk | PBE | relaxed
# Symmetry: C2/c
# ΔE_f (raw), kJ per mole of atoms: -184.8
data_PmTlGe2O6
_chemical_formula_sum 'Pm2 Tl2 Ge4 O12'
_symmetry_space_group_name_H-M 'P 1'
_symmetry_Int_Tables_number 1
_symmetry_space_group_name_Hall 'P 1'
_cell_length_a 7.7811
_cell_length_b 7.7811
_cell_length_c 5.3494
_cell_angle_alpha 93.80
_cell_angle_beta 93.80
_cell_angle_gamma 92.32
loop_
_atom_site_label
_atom_site_fract_x
_atom_site_fract_y
_atom_site_fract_z
_atom_site_occupancy
Pm1 0.2177 0.7823 0.7500 1
Pm2 0.7823 0.2177 0.2500 1
Tl1 0.4103 0.5897 0.2500 1
Tl2 0.5897 0.4103 0.7500 1
Ge1 0.1245 0.2907 0.7706 1
Ge2 0.2907 0.1245 0.2706 1
Ge3 0.7093 0.8755 0.7294 1
Ge4 0.8755 0.7093 0.2294 1
O1 0.0784 0.7036 0.3740 1
O2 0.1111 0.2260 0.0957 1
O3 0.2260 0.1111 0.5957 1
O4 0.2434 0.4873 0.7877 1
O5 0.2964 0.9216 0.1260 1
O6 0.4873 0.2434 0.2877 1
O7 0.5127 0.7566 0.7123 1
O8 0.7036 0.0784 0.8740 1
O9 0.7566 0.5127 0.2123 1
O10 0.7740 0.8889 0.4043 1
O11 0.8889 0.7740 0.9043 1
O12 0.9216 0.2964 0.6260 1

Number 1: DOS(E_F) 7.00 states/eV/cell. Number 2: DOS(E_F) 0.76 states/eV/cell. Number 3: DOS(E_F) 3.42 states/eV/cell. Number 4: DOS(E_F) 0.00 states/eV/cell.